This record from Alexandria describes a relaxed Ta3Mo2W7 crystal. The functional is PBE.

Computed properties:
Total moment in Bohr magnetons per cell: 0.00
Volume in Å³/f.u.: 219
Symmetry: P2/m (10)
DFT formation energy in meV per atom: 396
Fermi-level density of states in states/eV per cell: 7.6

Cell: 4.5533 4.4277 11.0563 Å, 101.18 90.00 90.00°
Fractional positions:
Ta  0.5000  0.5000  0.0000
Ta  0.0000  0.1479  0.3030
Ta  0.0000  0.8521  0.6970
Mo  0.5000  0.6428  0.2938
Mo  0.5000  0.3572  0.7062
W  0.5000  0.2159  0.4328
W  0.5000  0.7841  0.5672
W  0.0000  0.5729  0.1493
W  0.0000  0.0000  0.0000
W  0.0000  0.4271  0.8507
W  0.5000  0.9273  0.8513
W  0.5000  0.0727  0.1487



This record from Alexandria describes a relaxed Ta6MoW2 crystal. The functional is PBE.

Computed properties:
Total moment in Bohr magnetons per cell: 0.00
Volume in Å³/f.u.: 186
Symmetry: C2/m (12)
DFT formation energy in meV per atom: 656
Fermi-level density of states in states/eV per cell: 9.7

Cell: 4.4436 6.2686 7.6952 Å, 114.04 106.91 90.00°
Fractional positions:
Ta  0.1657  0.4152  0.3319
Ta  0.8343  0.0834  0.6681
Ta  0.8343  0.5848  0.6681
Ta  0.5000  0.2498  0.0000
Ta  0.1657  0.9166  0.3319
Ta  0.5000  0.7502  0.0000
Mo  0.0000  0.0000  0.0000
W  0.6663  0.6666  0.3332
W  0.3337  0.3334  0.6668



This record from Alexandria describes a relaxed TaMo2W crystal. The functional is PBE.

Computed properties:
Total moment in Bohr magnetons per cell: 0.00
Volume in Å³/f.u.: 66
Symmetry: P4/mmm (123)
DFT formation energy in meV per atom: -144
Fermi-level density of states in states/eV per cell: 1.8

Cell: 4.5280 4.5280 3.1992 Å, 90.00 90.00 90.00°
Fractional positions:
Mo  0.0000  0.0000  0.0000
Mo  0.5000  0.5000  0.0000
W  0.0000  0.5000  0.5000
Ta  0.5000  0.0000  0.5000



This record from Alexandria describes a relaxed TaMo6W2 crystal. The functional is PBE.

Computed properties:
Total moment in Bohr magnetons per cell: 0.00
Volume in Å³/f.u.: 145
Symmetry: P-1 (2)
DFT formation energy in meV per atom: -69
Fermi-level density of states in states/eV per cell: 5.0

Cell: 4.5000 5.2812 6.9349 Å, 110.04 109.03 90.00°
Fractional positions:
Ta  0.0000  0.0000  0.0000
Mo  0.7766  0.8870  0.5535
Mo  0.2234  0.1130  0.4465
Mo  0.3330  0.6681  0.6664
Mo  0.4436  0.2248  0.8877
Mo  0.5564  0.7752  0.1123
Mo  0.6669  0.3319  0.3336
W  0.8880  0.4394  0.7761
W  0.1120  0.5606  0.2239



This record from Alexandria describes a relaxed TaMo2W crystal. The functional is PBE.

Computed properties:
Total moment in Bohr magnetons per cell: 0.00
Volume in Å³/f.u.: 67
Symmetry: R3m (160)
DFT formation energy in meV per atom: 295
Fermi-level density of states in states/eV per cell: 3.3

Cell: 8.7264 8.7264 8.7264 Å, 19.92 19.92 19.92°
Fractional positions:
Mo  0.9996  0.9996  0.9996
Mo  0.2520  0.2520  0.2520
Ta  0.5005  0.5005  0.5005
W  0.7479  0.7479  0.7479



This record from Alexandria describes a relaxed Ta2MoW4 crystal. The functional is PBE.

Computed properties:
Total moment in Bohr magnetons per cell: 0.00
Volume in Å³/f.u.: 116
Symmetry: R-3m (166)
DFT formation energy in meV per atom: -125
Fermi-level density of states in states/eV per cell: 3.2

Cell: 4.5300 4.5300 7.0352 Å, 71.22 71.22 60.00°
Fractional positions:
Ta  0.2862  0.2862  0.1413
Ta  0.7138  0.7138  0.8587
Mo  0.0000  0.0000  0.0000
W  0.1414  0.1414  0.5758
W  0.8586  0.8586  0.4242
W  0.4311  0.4311  0.7066
W  0.5689  0.5689  0.2934



Q: Look up the volume of the second one.
A: 186 Å³/f.u.